Entry from the Alexandria database: a geometry-optimized Y5Tl2 structure (GGA-PBE).

POSCAR file:
```
Y5Tl2
1.0
4.690 -2.712 0.000
4.690 2.712 0.000
-3.137 0.000 8.065
Y Tl
5 2
Direct
0.000 0.000 0.000
0.154 0.154 0.462
0.425 0.425 0.274
0.575 0.575 0.726
0.846 0.846 0.538
0.283 0.283 0.849
0.717 0.717 0.151
```

Computed properties:
ΔE_f, eV/atom: -0.22
Fermi-level density of states, states/eV/atom: 0.855
Size of the total moment, μB/cell: 0.000



Entry from the Alexandria database: a geometry-optimized CaTlHg2Pd structure (GGA-PBE).

POSCAR file:
```
CaTlHg2Pd
1.0
5.322 0.000 0.000
0.000 5.322 0.000
0.000 0.000 5.267
Ca Tl Hg Pd
1 1 2 1
Direct
0.000 0.000 0.000
0.500 0.500 0.000
0.000 0.500 0.500
0.500 0.000 0.500
0.000 0.000 0.500
```

Computed properties:
ΔE_f, eV/atom: -0.18
Fermi-level density of states, states/eV/atom: 0.617
Size of the total moment, μB/cell: 0.000



Entry from the Alexandria database: a geometry-optimized MgCdP2 structure (GGA-PBE).

POSCAR file:
```
MgCdP2
1.0
-1.631 2.340 4.901
1.631 -2.340 4.901
1.631 2.340 -4.901
Mg Cd P
1 1 2
Direct
0.000 0.000 0.000
0.714 0.214 0.500
0.291 0.791 0.500
0.459 0.459 0.000
```

Computed properties:
ΔE_f, eV/atom: 0.02
Fermi-level density of states, states/eV/atom: 0.270
Size of the total moment, μB/cell: 0.000
E above lowest polymorph, eV/atom: 0.136



Entry from the Alexandria database: a geometry-optimized LiGaSi structure (GGA-PBE).

POSCAR file:
```
LiGaSi
1.0
1.367 -6.253 0.000
1.367 6.253 0.000
0.000 0.000 5.509
Li Ga Si
2 2 2
Direct
0.000 0.000 0.000
0.000 0.000 0.500
0.329 0.671 0.750
0.671 0.329 0.250
0.351 0.649 0.250
0.649 0.351 0.750
```

Computed properties:
Energy relative to the elements, uncorrected, meV/atom: -74.6
Fermi-level density of states, states/eV/atom: 0.258
Size of the total moment, μB/cell: 0.000